# 1
Material: ZrTi2HIr
Method: DFT, PBE-GGA
State: optimized geometry

**Total magnetic moment**: 0.00 μB/atom
**Density of states at the Fermi level**: 6.23 states/eV per cell
**Calculated volume**: 71.34 Å³ per cell
**Symmetry**: P4/mmm, No. 123

Unit cell a=3.921 b=3.921 c=4.641 alpha=90.00 beta=90.00 gamma=90.00
Element x y z (fractional)
Ti (0.500, 0.000, 0.000)
Ti (0.000, 0.500, 0.000)
Ir (0.500, 0.500, 0.500)
Zr (0.000, 0.000, 0.500)
H (0.000, 0.000, 0.000)


# 2
Material: Tl2H5Ir
Method: DFT, PBE-GGA
State: optimized geometry

**Total magnetic moment**: 0.00 μB/atom
**Calculated volume**: 121.47 Å³ per cell
**Symmetry**: P1, No. 1

Unit cell a=5.457 b=5.193 c=5.232 alpha=112.78 beta=116.37 gamma=86.23
Element x y z (fractional)
H (0.008, 0.574, 0.866)
H (0.126, 0.222, 0.364)
H (0.390, 0.889, 0.203)
H (0.938, 0.167, 0.925)
H (0.711, 0.862, 0.907)
Ir (0.052, 0.922, 0.053)
Tl (0.514, 0.336, 0.183)
Tl (0.038, 0.805, 0.499)


# 3
Material: Tl3HIr
Method: DFT, PBE-GGA
State: optimized geometry

**Relative energy among the computed polymorphs**: 300 meV per atom
**Total magnetic moment**: 0.00 μB/atom
**Density of states at the Fermi level**: 3.68 states/eV per cell
**Calculated volume**: 100.22 Å³ per cell
**Symmetry**: Pm-3m, No. 221

Unit cell a=4.645 b=4.645 c=4.645 alpha=90.00 beta=90.00 gamma=90.00
Element x y z (fractional)
Ir (0.500, 0.500, 0.500)
H (0.000, 0.000, 0.000)
Tl (0.000, 0.000, 0.500)
Tl (0.000, 0.500, 0.000)
Tl (0.500, 0.000, 0.000)


# 4
Material: TlH8Ir2
Method: DFT, PBE-GGA
State: optimized geometry

**Total magnetic moment**: 0.00 μB/atom
**Density of states at the Fermi level**: 1.82 states/eV per cell
**Calculated volume**: 114.48 Å³ per cell
**Symmetry**: Cm, No. 8

Unit cell a=5.081 b=4.925 c=4.925 alpha=111.70 beta=90.25 gamma=90.25
Element x y z (fractional)
H (0.832, 0.713, 0.283)
H (0.548, 0.047, 0.324)
H (0.537, 0.945, 0.670)
H (0.701, 0.505, 0.505)
H (0.317, 0.486, 0.486)
H (0.548, 0.324, 0.047)
H (0.832, 0.283, 0.713)
H (0.537, 0.670, 0.945)
Tl (0.103, 0.999, 0.999)
Ir (0.523, 0.312, 0.683)
Ir (0.523, 0.683, 0.312)


# 5
Material: Tl3H7Ir
Method: DFT, PBE-GGA
State: optimized geometry

**Total magnetic moment**: 0.00 μB/atom
**Density of states at the Fermi level**: 1.64 states/eV per cell
**Calculated volume**: 157.78 Å³ per cell
**Symmetry**: Cm, No. 8

Unit cell a=5.277 b=5.277 c=5.842 alpha=80.88 beta=80.88 gamma=94.21
Element x y z (fractional)
Tl (0.619, 0.139, 0.500)
Tl (0.547, 0.547, 0.939)
Tl (0.139, 0.619, 0.500)
H (0.100, 0.694, 0.061)
H (0.694, 0.100, 0.061)
H (0.034, 0.275, 0.928)
H (0.925, 0.925, 0.778)
H (0.275, 0.034, 0.928)
H (0.071, 0.071, 0.281)
H (0.752, 0.752, 0.226)
Ir (0.970, 0.970, 0.048)


# 6
Material: TlHIr2
Method: DFT, PBE-GGA
State: optimized geometry

**Relative energy among the computed polymorphs**: 634 meV per atom
**Total magnetic moment**: 0.00 μB/atom
**Density of states at the Fermi level**: 4.37 states/eV per cell
**Calculated volume**: 60.00 Å³ per cell
**Symmetry**: Fm-3m, No. 225

Unit cell a=4.394 b=4.394 c=4.394 alpha=60.00 beta=60.00 gamma=60.00
Element x y z (fractional)
Ir (0.250, 0.250, 0.250)
Ir (0.750, 0.750, 0.750)
H (0.000, 0.000, 0.000)
Tl (0.500, 0.500, 0.500)


# 7
Material: Tl2H6Ir
Method: DFT, PBE-GGA
State: optimized geometry

**Total magnetic moment**: 0.00 μB/atom
**Density of states at the Fermi level**: 2.20 states/eV per cell
**Calculated volume**: 104.60 Å³ per cell
**Symmetry**: C2/m, No. 12

Unit cell a=4.540 b=5.156 c=5.156 alpha=60.09 beta=89.80 gamma=89.80
Element x y z (fractional)
H (0.238, 0.854, 0.290)
H (0.762, 0.146, 0.710)
H (0.762, 0.146, 0.146)
H (0.238, 0.854, 0.854)
H (0.238, 0.290, 0.854)
H (0.762, 0.710, 0.146)
Tl (0.734, 0.667, 0.667)
Tl (0.266, 0.333, 0.333)
Ir (0.000, 0.000, 0.000)


# 8
Material: TlH3Ir
Method: DFT, PBE-GGA
State: optimized geometry

**Relative energy among the computed polymorphs**: 141 meV per atom
**Total magnetic moment**: 0.00 μB/atom
**Density of states at the Fermi level**: 2.06 states/eV per cell
**Calculated volume**: 52.31 Å³ per cell
**Symmetry**: Pm-3m, No. 221

Unit cell a=3.740 b=3.740 c=3.740 alpha=90.00 beta=90.00 gamma=90.00
Element x y z (fractional)
H (0.000, 0.500, 0.000)
H (0.000, 0.000, 0.500)
H (0.500, 0.000, 0.000)
Tl (0.500, 0.500, 0.500)
Ir (0.000, 0.000, 0.000)


# 9
Material: TlHIr
Method: DFT, PBE-GGA
State: optimized geometry

**Total magnetic moment**: 0.00 μB/atom
**Density of states at the Fermi level**: 2.67 states/eV per cell
**Calculated volume**: 89.01 Å³ per cell
**Symmetry**: P-1, No. 2

Unit cell a=3.081 b=5.587 c=5.515 alpha=78.19 beta=73.62 gamma=89.69
Element x y z (fractional)
H (0.092, 0.734, 0.317)
H (0.908, 0.266, 0.683)
Tl (0.615, 0.297, 0.273)
Tl (0.385, 0.703, 0.727)
Ir (0.670, 0.817, 0.162)
Ir (0.330, 0.183, 0.838)


# 10
Material: Tl3H6Ir
Method: DFT, PBE-GGA
State: optimized geometry

**Total magnetic moment**: 0.00 μB/atom
**Density of states at the Fermi level**: 0.00 states/eV per cell
**Calculated volume**: 288.55 Å³ per cell
**Symmetry**: P2_1/c, No. 14

Unit cell a=6.451 b=5.290 c=12.570 alpha=90.00 beta=42.27 gamma=90.00
Element x y z (fractional)
H (0.271, 0.456, 0.302)
H (0.803, 0.637, 0.475)
H (0.271, 0.044, 0.802)
H (0.825, 0.227, 0.531)
H (0.175, 0.773, 0.469)
H (0.197, 0.137, 0.025)
H (0.729, 0.544, 0.698)
H (0.803, 0.863, 0.975)
H (0.825, 0.273, 0.031)
H (0.729, 0.956, 0.198)
H (0.175, 0.727, 0.969)
H (0.197, 0.363, 0.525)
Tl (0.258, 0.514, 0.758)
Tl (0.742, 0.486, 0.242)
Tl (0.500, 0.500, 0.000)
Tl (0.742, 0.014, 0.742)
Tl (0.258, 0.986, 0.258)
Tl (0.500, 0.000, 0.500)
Ir (0.000, 0.000, 0.000)
Ir (0.000, 0.500, 0.500)


# 11
Material: TlH3Ir
Method: DFT, PBE-GGA
State: optimized geometry

**Relative energy among the computed polymorphs**: 1413 meV per atom
**Total magnetic moment**: 0.19 μB/atom
**Density of states at the Fermi level**: 3.61 states/eV per cell
**Calculated volume**: 58.45 Å³ per cell
**Symmetry**: Pm-3m, No. 221

Unit cell a=3.881 b=3.881 c=3.881 alpha=90.00 beta=90.00 gamma=90.00
Last column: magnetic moment on the atom in μB.
Element x y z (fractional)
H (0.000, 0.500, 0.000)  0.04
H (0.500, 0.000, 0.000)  0.01
H (0.000, 0.000, 0.500)  0.03
Tl (0.000, 0.000, 0.000)  0.02
Ir (0.500, 0.500, 0.500)  0.82


# 12
Material: TlH3Ir
Method: DFT, PBE-GGA
State: optimized geometry

**Relative energy among the computed polymorphs**: 5 meV per atom
**Total magnetic moment**: 0.00 μB/atom
**Density of states at the Fermi level**: 1.26 states/eV per cell
**Calculated volume**: 118.22 Å³ per cell
**Symmetry**: P-1, No. 2

Unit cell a=4.914 b=4.907 c=6.537 alpha=90.82 beta=55.14 gamma=71.07
Element x y z (fractional)
H (0.682, 0.925, 0.706)
H (0.282, 0.685, 0.825)
H (0.032, 0.146, 0.928)
H (0.145, 0.512, 0.654)
H (0.744, 0.272, 0.773)
H (0.395, 0.051, 0.551)
Ir (0.043, 0.905, 0.718)
Ir (0.383, 0.291, 0.761)
Tl (0.493, 0.758, 0.134)
Tl (0.933, 0.439, 0.346)


# 13
Material: Tl3HIr
Method: DFT, PBE-GGA
State: optimized geometry

**Relative energy among the computed polymorphs**: 0 meV per atom
**Total magnetic moment**: 0.00 μB/atom
**Density of states at the Fermi level**: 2.57 states/eV per cell
**Calculated volume**: 147.53 Å³ per cell
**Symmetry**: Pm-3m, No. 221

Unit cell a=5.284 b=5.284 c=5.284 alpha=90.00 beta=90.00 gamma=90.00
Element x y z (fractional)
Ir (0.000, 0.000, 0.000)
Tl (0.500, 0.000, 0.000)
Tl (0.000, 0.000, 0.500)
Tl (0.000, 0.500, 0.000)
H (0.500, 0.500, 0.500)


# 14
Material: TlH3Ir
Method: DFT, PBE-GGA
State: optimized geometry

**Relative energy among the computed polymorphs**: 0 meV per atom
**Total magnetic moment**: 0.00 μB/atom
**Density of states at the Fermi level**: 2.27 states/eV per cell
**Calculated volume**: 131.99 Å³ per cell
**Symmetry**: P1, No. 1

Unit cell a=7.117 b=7.176 c=4.936 alpha=89.43 beta=106.05 gamma=143.95
Element x y z (fractional)
Ir (0.969, 0.066, 0.185)
Ir (0.808, 0.694, 0.616)
H (0.217, 0.964, 0.825)
H (0.756, 0.515, 0.851)
H (0.918, 0.801, 0.313)
H (0.786, 0.110, 0.984)
H (0.839, 0.512, 0.518)
H (0.379, 0.277, 0.324)
Tl (0.390, 0.814, 0.334)
Tl (0.287, 0.391, 0.811)


# 15
Material: Tl2HIr
Method: DFT, PBE-GGA
State: optimized geometry

**Relative energy among the computed polymorphs**: 0 meV per atom
**Total magnetic moment**: 0.00 μB/atom
**Density of states at the Fermi level**: 0.92 states/eV per cell
**Calculated volume**: 144.20 Å³ per cell
**Symmetry**: I-42d, No. 122

Unit cell a=6.529 b=6.529 c=5.723 alpha=55.23 beta=55.23 gamma=90.00
Element x y z (fractional)
Ir (0.000, 0.000, 0.000)
Ir (0.750, 0.250, 0.500)
H (0.500, 0.500, 0.000)
H (0.250, 0.750, 0.500)
Tl (0.564, 0.125, 0.250)
Tl (0.875, 0.814, 0.750)
Tl (0.375, 0.436, 0.750)
Tl (0.186, 0.625, 0.250)


# 16
Material: TlHIr2
Method: DFT, PBE-GGA
State: optimized geometry

**Relative energy among the computed polymorphs**: 0 meV per atom
**Total magnetic moment**: 0.00 μB/atom
**Density of states at the Fermi level**: 6.07 states/eV per cell
**Calculated volume**: 121.11 Å³ per cell
**Symmetry**: I-42d, No. 122

Unit cell a=5.330 b=5.330 c=5.690 alpha=62.07 beta=62.07 gamma=90.00
Element x y z (fractional)
Ir (0.375, 0.555, 0.750)
Ir (0.445, 0.125, 0.250)
Ir (0.305, 0.625, 0.250)
Ir (0.875, 0.695, 0.750)
Tl (0.750, 0.250, 0.500)
Tl (0.000, 0.000, 0.000)
H (0.250, 0.750, 0.500)
H (0.500, 0.500, 0.000)


# 17
Material: Tl2HIr
Method: DFT, PBE-GGA
State: optimized geometry

**Relative energy among the computed polymorphs**: 98 meV per atom
**Total magnetic moment**: 0.21 μB/atom
**Density of states at the Fermi level**: 2.75 states/eV per cell
**Calculated volume**: 73.15 Å³ per cell
**Symmetry**: Fm-3m, No. 225

Unit cell a=4.694 b=4.694 c=4.694 alpha=60.00 beta=60.00 gamma=60.00
Last column: magnetic moment on the atom in μB.
Element x y z (fractional)
Ir (0.500, 0.500, 0.500)  0.25
Tl (0.750, 0.750, 0.750)  0.02
Tl (0.250, 0.250, 0.250)  0.02
H (0.000, 0.000, 0.000)  0.26


# 18
Material: TlH7Ir2
Method: DFT, PBE-GGA
State: optimized geometry

**Total magnetic moment**: 0.00 μB/atom
**Density of states at the Fermi level**: 2.02 states/eV per cell
**Calculated volume**: 92.88 Å³ per cell
**Symmetry**: Cmmm, No. 65

Unit cell a=3.531 b=5.519 c=5.508 alpha=120.07 beta=90.00 gamma=90.00
Element x y z (fractional)
H (0.000, 0.673, 0.347)
H (0.500, 0.041, 0.692)
H (0.500, 0.350, 0.308)
H (0.500, 0.959, 0.308)
H (0.500, 0.500, 0.000)
H (0.500, 0.650, 0.692)
H (0.000, 0.327, 0.653)
Ir (0.500, 0.689, 0.377)
Ir (0.500, 0.311, 0.623)
Tl (0.000, 0.000, 0.000)


# 19
Material: Tl3H12Ir5
Method: DFT, PBE-GGA
State: optimized geometry

**Total magnetic moment**: 0.00 μB/atom
**Density of states at the Fermi level**: 17.00 states/eV per cell
**Calculated volume**: 835.46 Å³ per cell
**Symmetry**: Ia-3d, No. 230

Unit cell a=10.277 b=10.277 c=10.277 alpha=109.47 beta=109.47 gamma=109.47
Element x y z (fractional)
H (0.693, 0.172, 0.611)
H (0.020, 0.438, 0.328)
H (0.418, 0.980, 0.307)
H (0.520, 0.828, 0.938)
H (0.918, 0.807, 0.480)
H (0.193, 0.111, 0.672)
H (0.980, 0.418, 0.807)
H (0.082, 0.889, 0.062)
H (0.828, 0.520, 0.438)
H (0.611, 0.672, 0.693)
H (0.938, 0.611, 0.918)
H (0.889, 0.082, 0.562)
H (0.172, 0.693, 0.111)
H (0.307, 0.480, 0.418)
H (0.980, 0.562, 0.672)
H (0.520, 0.693, 0.082)
H (0.938, 0.328, 0.520)
H (0.562, 0.582, 0.889)
H (0.611, 0.938, 0.418)
H (0.111, 0.193, 0.172)
H (0.418, 0.438, 0.611)
H (0.082, 0.193, 0.520)
H (0.582, 0.020, 0.693)
H (0.389, 0.328, 0.307)
H (0.480, 0.172, 0.062)
H (0.328, 0.389, 0.807)
H (0.193, 0.082, 0.020)
H (0.111, 0.918, 0.438)
H (0.582, 0.562, 0.389)
H (0.307, 0.828, 0.389)
H (0.693, 0.520, 0.582)
H (0.062, 0.672, 0.480)
H (0.062, 0.389, 0.082)
H (0.328, 0.938, 0.020)
H (0.438, 0.020, 0.828)
H (0.889, 0.807, 0.828)
H (0.807, 0.918, 0.980)
H (0.918, 0.111, 0.938)
H (0.672, 0.611, 0.193)
H (0.562, 0.980, 0.172)
H (0.672, 0.062, 0.980)
H (0.389, 0.062, 0.582)
H (0.807, 0.889, 0.328)
H (0.480, 0.307, 0.918)
H (0.172, 0.480, 0.562)
H (0.438, 0.418, 0.111)
H (0.828, 0.307, 0.889)
H (0.020, 0.582, 0.193)
Ir (0.750, 0.125, 0.875)
Ir (0.125, 0.375, 0.250)
Ir (0.625, 0.875, 0.250)
Ir (0.250, 0.875, 0.125)
Ir (0.750, 0.625, 0.375)
Ir (0.000, 0.500, 0.500)
Ir (0.375, 0.250, 0.125)
Ir (0.000, 0.000, 0.000)
Ir (0.375, 0.125, 0.750)
Ir (0.250, 0.375, 0.625)
Ir (0.875, 0.625, 0.750)
Ir (0.500, 0.500, 0.500)
Ir (0.875, 0.250, 0.625)
Ir (0.125, 0.750, 0.375)
Ir (0.625, 0.750, 0.875)
Ir (0.500, 0.000, 0.500)
Ir (0.500, 0.500, 0.000)
Ir (0.500, 0.000, 0.000)
Ir (0.000, 0.000, 0.500)
Ir (0.000, 0.500, 0.000)
Tl (0.875, 0.125, 0.250)
Tl (0.375, 0.750, 0.625)
Tl (0.750, 0.375, 0.125)
Tl (0.375, 0.625, 0.250)
Tl (0.750, 0.875, 0.625)
Tl (0.125, 0.875, 0.750)
Tl (0.625, 0.250, 0.375)
Tl (0.250, 0.125, 0.375)
Tl (0.250, 0.625, 0.875)
Tl (0.875, 0.750, 0.125)
Tl (0.625, 0.375, 0.750)
Tl (0.125, 0.250, 0.875)


# 20
Material: TlZnH8Ir2
Method: DFT, PBE-GGA
State: optimized geometry

**Total magnetic moment**: 0.00 μB/atom
**Density of states at the Fermi level**: 2.27 states/eV per cell
**Calculated volume**: 128.53 Å³ per cell
**Symmetry**: R-3, No. 148

Unit cell a=4.674 b=4.674 c=7.309 alpha=71.35 beta=71.35 gamma=60.00
Element x y z (fractional)
H (0.304, 0.926, 0.169)
H (0.926, 0.601, 0.169)
H (0.696, 0.074, 0.831)
H (0.601, 0.304, 0.169)
H (0.074, 0.399, 0.831)
H (0.779, 0.779, 0.662)
H (0.399, 0.696, 0.831)
H (0.221, 0.221, 0.338)
Ir (0.701, 0.701, 0.898)
Ir (0.299, 0.299, 0.102)
Zn (0.000, 0.000, 0.000)
Tl (0.500, 0.500, 0.500)


Values of total energy, in order: -7.74, -3.74, -3.15, -4.13, -3.54, -4.71, -3.59, -3.99, -4.60, -3.55, -2.71, -4.12, -3.45, -4.13, -3.54, -5.34, -3.44, -4.23, -4.26, -3.90, all in eV/atom.